(1)
## GaHgI4 (PBE)

Data for a relaxed GaHgI4 crystal. Values from VASP.

Properties
calculated density: 3873 kg/m3
energy above the lowest structure with this stoichiometry: 0 meV/atom
E_form (uncorrected): -0.32 eV/atom
SG: P1

Quantum ESPRESSO input file:
```
&SYSTEM
  ibrav = 0, nat = 6, ntyp = 3
/
ATOMIC_SPECIES
Ga 69.72 Ga.upf
Hg 200.59 Hg.upf
I 126.90 I.upf
ATOMIC_POSITIONS crystal
Ga 0.000 0.000 0.000
Hg 0.959 0.378 0.484
I 0.226 0.848 0.784
I 0.461 0.383 0.484
I 0.805 0.830 0.227
I 0.963 0.314 0.982
CELL_PARAMETERS angstrom
5.715 0.000 0.000
-2.082 7.360 0.000
-0.048 -1.315 7.928
```

---

(2)
## FeSb3Pb (PBE)

Data for a relaxed FeSb3Pb crystal. Values from VASP.

Properties
calculated density: 8162 kg/m3
energy above the lowest structure with this stoichiometry: 0 meV/atom
E_form (uncorrected): 0.35 eV/atom
SG: Pm-3m

Quantum ESPRESSO input file:
```
&SYSTEM
  ibrav = 0, nat = 5, ntyp = 3
/
ATOMIC_SPECIES
Fe 55.84 Fe.upf
Sb 121.76 Sb.upf
Pb 207.20 Pb.upf
ATOMIC_POSITIONS crystal
Fe 0.000 0.000 0.000
Sb 0.000 0.000 0.500
Sb 0.000 0.500 0.000
Sb 0.500 0.000 0.000
Pb 0.500 0.500 0.500
CELL_PARAMETERS angstrom
5.037 0.000 0.000
0.000 5.037 0.000
0.000 0.000 5.037
```

---

(3)
## NaPrTl2Cl6 (PBE)

Data for a relaxed NaPrTl2Cl6 crystal. Values from VASP.

Properties
calculated density: 4156 kg/m3
E_form (uncorrected): -1.70 eV/atom
SG: P2_1/c

Quantum ESPRESSO input file:
```
&SYSTEM
  ibrav = 0, nat = 20, ntyp = 4
/
ATOMIC_SPECIES
Na 22.99 Na.upf
Pr 140.91 Pr.upf
Tl 204.38 Tl.upf
Cl 35.45 Cl.upf
ATOMIC_POSITIONS crystal
Na 0.000 0.000 0.000
Na 0.000 0.500 0.500
Pr 0.500 0.000 0.500
Pr 0.500 0.500 0.000
Tl 0.224 0.069 0.746
Tl 0.224 0.431 0.246
Tl 0.776 0.569 0.754
Tl 0.776 0.931 0.254
Cl 0.150 0.194 0.451
Cl 0.150 0.306 0.951
Cl 0.254 0.707 0.446
Cl 0.254 0.793 0.946
Cl 0.357 0.031 0.252
Cl 0.357 0.469 0.752
Cl 0.643 0.531 0.248
Cl 0.643 0.969 0.748
Cl 0.746 0.207 0.054
Cl 0.746 0.293 0.554
Cl 0.850 0.694 0.049
Cl 0.850 0.806 0.549
CELL_PARAMETERS angstrom
7.460 0.000 0.000
0.000 7.841 0.000
-7.304 0.000 10.731
```

---

(4)
## TaTe2As (PBE)

Data for a relaxed TaTe2As crystal. Values from VASP.

Properties
calculated density: 9728 kg/m3
E_form (uncorrected): 0.49 eV/atom
SG: P4/mmm

Quantum ESPRESSO input file:
```
&SYSTEM
  ibrav = 0, nat = 4, ntyp = 3
/
ATOMIC_SPECIES
Ta 180.95 Ta.upf
Te 127.60 Te.upf
As 74.92 As.upf
ATOMIC_POSITIONS crystal
Ta 0.000 0.000 0.000
Te 0.000 0.500 0.500
Te 0.500 0.000 0.500
As 0.500 0.500 0.000
CELL_PARAMETERS angstrom
5.061 0.000 0.000
0.000 5.061 0.000
0.000 0.000 3.406
```

---

(5)
## CeSm2DySe6 (PBE)

Data for a relaxed CeSm2DySe6 crystal. Values from VASP.

Properties
calculated density: 5776 kg/m3
E_form (uncorrected): -1.82 eV/atom
SG: R3

Quantum ESPRESSO input file:
```
&SYSTEM
  ibrav = 0, nat = 10, ntyp = 4
/
ATOMIC_SPECIES
Ce 140.12 Ce.upf
Sm 150.36 Sm.upf
Dy 162.50 Dy.upf
Se 78.96 Se.upf
ATOMIC_POSITIONS crystal
Ce 0.000 0.000 0.000
Sm 0.297 0.297 0.297
Sm 0.800 0.800 0.800
Dy 0.497 0.497 0.497
Se 0.101 0.693 0.405
Se 0.209 0.597 0.890
Se 0.405 0.101 0.693
Se 0.597 0.890 0.209
Se 0.693 0.405 0.101
Se 0.890 0.209 0.597
CELL_PARAMETERS angstrom
3.688 2.129 6.572
-3.688 2.129 6.572
0.000 -4.259 6.572
```

---

(6)
## Zr2Ga2Au (PBE)

Data for a relaxed Zr2Ga2Au crystal. Values from VASP.

Properties
calculated density: 8379 kg/m3
energy of formation from the pure elements: -15 kJ per mole of atoms
energy above the lowest structure with this stoichiometry: 459 meV/atom
SG: P4/mbm

Quantum ESPRESSO input file:
```
&SYSTEM
  ibrav = 0, nat = 10, ntyp = 3
/
ATOMIC_SPECIES
Zr 91.22 Zr.upf
Ga 69.72 Ga.upf
Au 196.97 Au.upf
ATOMIC_POSITIONS crystal
Zr 0.136 0.364 0.000
Zr 0.364 0.864 0.000
Zr 0.636 0.136 0.000
Zr 0.864 0.636 0.000
Ga 0.169 0.669 0.500
Ga 0.331 0.169 0.500
Ga 0.669 0.831 0.500
Ga 0.831 0.331 0.500
Au 0.000 0.000 0.000
Au 0.500 0.500 0.000
CELL_PARAMETERS angstrom
7.863 0.000 0.000
0.000 7.863 0.000
0.000 0.000 3.326
```

---

(7)
## MgMnSn2Bi (PBE)

Data for a relaxed MgMnSn2Bi crystal. Values from VASP.

Properties
calculated density: 5177 kg/m3
energy of formation from the pure elements: 86 kJ per mole of atoms
SG: P4/mmm

Quantum ESPRESSO input file:
```
&SYSTEM
  ibrav = 0, nat = 5, ntyp = 4
/
ATOMIC_SPECIES
Mg 24.30 Mg.upf
Mn 54.94 Mn.upf
Sn 118.71 Sn.upf
Bi 208.98 Bi.upf
ATOMIC_POSITIONS crystal
Mg 0.000 0.000 0.000
Mn 0.500 0.500 0.000
Sn 0.000 0.500 0.500
Sn 0.500 0.000 0.500
Bi 0.500 0.500 0.500
CELL_PARAMETERS angstrom
5.873 0.000 0.000
0.000 5.873 0.000
0.000 0.000 4.888
```

---

(8)
## AcSmAgAu (PBE)

Data for a relaxed AcSmAgAu crystal. Values from VASP.

Properties
calculated density: 9878 kg/m3
energy of formation from the pure elements: -50 kJ per mole of atoms
energy above the lowest structure with this stoichiometry: 0 meV/atom
SG: Amm2

Quantum ESPRESSO input file:
```
&SYSTEM
  ibrav = 0, nat = 4, ntyp = 4
/
ATOMIC_SPECIES
Ac 227.00 Ac.upf
Sm 150.36 Sm.upf
Ag 107.87 Ag.upf
Au 196.97 Au.upf
ATOMIC_POSITIONS crystal
Ac 0.000 0.000 0.000
Sm 0.500 0.723 0.723
Ag 0.500 0.437 0.437
Au 0.000 0.276 0.276
CELL_PARAMETERS angstrom
4.896 0.000 0.000
0.000 2.026 5.780
0.000 -2.026 5.780
```

---

(9)
## Sm12MgAl6 (PBE)

Data for a relaxed Sm12MgAl6 crystal. Values from VASP.

Properties
calculated density: 5908 kg/m3
energy of formation from the pure elements: -1 kJ per mole of atoms
SG: R-3

Quantum ESPRESSO input file:
```
&SYSTEM
  ibrav = 0, nat = 19, ntyp = 3
/
ATOMIC_SPECIES
Sm 150.36 Sm.upf
Mg 24.30 Mg.upf
Al 26.98 Al.upf
ATOMIC_POSITIONS crystal
Sm 0.092 0.423 0.168
Sm 0.153 0.465 0.623
Sm 0.168 0.092 0.423
Sm 0.377 0.847 0.535
Sm 0.423 0.168 0.092
Sm 0.465 0.623 0.153
Sm 0.535 0.377 0.847
Sm 0.577 0.832 0.908
Sm 0.623 0.153 0.465
Sm 0.832 0.908 0.577
Sm 0.847 0.535 0.377
Sm 0.908 0.577 0.832
Mg 0.500 0.500 0.500
Al 0.153 0.251 0.841
Al 0.159 0.847 0.749
Al 0.251 0.841 0.153
Al 0.749 0.159 0.847
Al 0.841 0.153 0.251
Al 0.847 0.749 0.159
CELL_PARAMETERS angstrom
7.115 4.108 3.190
-7.115 4.108 3.190
0.000 -8.216 3.190
```

---

(10)
## Sr3BeO (PBE)

Data for a relaxed Sr3BeO crystal. Values from VASP.

Properties
calculated density: 3511 kg/m3
energy above the lowest structure with this stoichiometry: 0 meV/atom
E_form (uncorrected): -0.80 eV/atom
SG: Pm-3m

Quantum ESPRESSO input file:
```
&SYSTEM
  ibrav = 0, nat = 5, ntyp = 3
/
ATOMIC_SPECIES
Sr 87.62 Sr.upf
Be 9.01 Be.upf
O 16.00 O.upf
ATOMIC_POSITIONS crystal
Sr 0.000 0.000 0.500
Sr 0.000 0.500 0.000
Sr 0.500 0.000 0.000
Be 0.500 0.500 0.500
O 0.000 0.000 0.000
CELL_PARAMETERS angstrom
5.144 0.000 0.000
0.000 5.144 0.000
0.000 0.000 5.144
```

---

(11)
## SrRhPbO6 (PBE)

Data for a relaxed SrRhPbO6 crystal. Values from VASP.

Properties
calculated density: 5823 kg/m3
E_form (uncorrected): -1.12 eV/atom
SG: P-31c

Quantum ESPRESSO input file:
```
&SYSTEM
  ibrav = 0, nat = 18, ntyp = 4
/
ATOMIC_SPECIES
Sr 87.62 Sr.upf
Rh 102.91 Rh.upf
Pb 207.20 Pb.upf
O 16.00 O.upf
ATOMIC_POSITIONS crystal
Sr 0.000 0.000 0.000
Sr 0.000 0.000 0.500
Rh 0.333 0.667 0.250
Rh 0.667 0.333 0.750
Pb 0.333 0.667 0.750
Pb 0.667 0.333 0.250
O 0.034 0.389 0.143
O 0.034 0.645 0.357
O 0.355 0.389 0.357
O 0.355 0.966 0.143
O 0.389 0.034 0.643
O 0.389 0.355 0.857
O 0.611 0.645 0.143
O 0.611 0.966 0.357
O 0.645 0.034 0.857
O 0.645 0.611 0.643
O 0.966 0.355 0.643
O 0.966 0.611 0.857
CELL_PARAMETERS angstrom
5.541 0.000 0.000
-2.771 4.799 0.000
0.000 0.000 10.589
```

---

(12)
## Ba2LiAlCu (PBE)

Data for a relaxed Ba2LiAlCu crystal. Values from VASP.

Properties
calculated density: 3339 kg/m3
energy of formation from the pure elements: 3 kJ per mole of atoms
SG: P4/mmm

Quantum ESPRESSO input file:
```
&SYSTEM
  ibrav = 0, nat = 5, ntyp = 4
/
ATOMIC_SPECIES
Ba 137.33 Ba.upf
Li 6.94 Li.upf
Al 26.98 Al.upf
Cu 63.55 Cu.upf
ATOMIC_POSITIONS crystal
Ba 0.000 0.500 0.000
Ba 0.500 0.000 0.000
Li 0.000 0.000 0.500
Al 0.500 0.500 0.500
Cu 0.500 0.500 0.000
CELL_PARAMETERS angstrom
6.264 0.000 0.000
0.000 6.264 0.000
0.000 0.000 4.716
```